Entry 1:
Entry from Alexandria: an optimized crystal structure of Ta2Se3S6 (GGA-PBE).

Unit cell a=6.364 b=6.453 c=19.405 alpha=74.68 beta=63.76 gamma=58.43
Sites, in units of the cell vectors:
S  0.750  0.521  0.921
S  0.971  0.007  0.416
S  0.466  0.135  0.927
S  0.534  0.865  0.073
S  0.029  0.993  0.584
S  0.099  0.886  0.915
S  0.250  0.479  0.079
S  0.622  0.631  0.415
S  0.901  0.114  0.085
S  0.217  0.380  0.433
S  0.783  0.620  0.567
S  0.378  0.369  0.585
Se  0.603  0.644  0.696
Se  0.397  0.356  0.304
Se  0.889  0.293  0.748
Se  0.111  0.707  0.252
Se  0.298  0.971  0.197
Se  0.702  0.029  0.803
Ta  0.804  0.302  0.503
Ta  0.691  0.196  0.001
Ta  0.196  0.698  0.497
Ta  0.309  0.804  0.999

Computed properties:
Its space group is P-1. As for the formation energy (no corrections): -521.5 meV per atom. As for the electronic total energy: -5.878 eV per atom.

***

Entry 2:
Entry from Alexandria: an optimized crystal structure of Ta4SeS (GGA-PBE).

Unit cell a=3.363 b=3.363 c=9.989 alpha=90.00 beta=90.00 gamma=90.00
Sites, in units of the cell vectors:
Ta  0.000  0.000  0.074
Ta  0.000  0.000  0.751
Ta  0.500  0.500  0.920
Ta  0.500  0.500  0.238
Se  0.000  0.000  0.365
S  0.500  0.500  0.652

Computed properties:
Its space group is P4mm. As for the formation energy (no corrections): -510.7 meV per atom. As for the electronic total energy: -9.681 eV per atom.

***

Entry 3:
Entry from Alexandria: an optimized crystal structure of TaSeS (GGA-PBE).

Unit cell a=3.409 b=3.409 c=13.970 alpha=89.79 beta=89.82 gamma=60.00
Sites, in units of the cell vectors:
Se  0.392  0.832  0.254
Se  0.732  0.179  0.965
S  0.390  0.830  0.485
S  0.734  0.182  0.733
Ta  0.057  0.498  0.377
Ta  0.067  0.514  0.841

Computed properties:
Its space group is P-1. As for the formation energy (no corrections): -934.7 meV per atom. The polymorph energy (0 for the lowest one) is 0.5 meV/atom. As for the electronic total energy: -7.423 eV per atom.

***

Entry 4:
Entry from Alexandria: an optimized crystal structure of TaSe3S (GGA-PBE).

Unit cell a=4.698 b=4.698 c=4.698 alpha=90.00 beta=90.00 gamma=90.00
Sites, in units of the cell vectors:
Ta  0.500  0.500  0.500
S  0.000  0.000  0.000
Se  0.000  0.000  0.500
Se  0.000  0.500  0.000
Se  0.500  0.000  0.000

Computed properties:
Its space group is Pm-3m. As for the formation energy (no corrections): 941.6 meV per atom. The polymorph energy (0 for the lowest one) is 643.3 meV/atom. As for the electronic total energy: -4.345 eV per atom.